Record 1
Entry from Alexandria: a relaxed structure of Li2SmAlAu4 (PBE).

```
8
Lattice="-1.445 0.795 -4.141 -4.146 -1.143 -1.171 -4.704 7.644 0.709" Properties=species:S:1:pos:R:3 pbc="T T T"
Li -7.625 5.210 -3.536
Li -2.669 2.085 -1.067
Au -6.708 2.704 -4.337
Au -3.586 4.591 -0.266
Au -6.015 6.018 -1.544
Au -4.280 1.278 -3.059
Sm 0.000 0.000 0.000
Al -5.147 3.648 -2.302
```

Values from the calculation:
DFT total energy ... -30.39 eV per cell
Energy relative to the elements ... -0.62 eV per atom

Record 2
Entry from Alexandria: a relaxed structure of LiSmAlAu (PBE).

```
4
Lattice="4.805 0.000 0.000 2.403 4.162 0.000 2.403 1.387 3.924" Properties=species:S:1:pos:R:3 pbc="T T T"
Au 7.208 4.162 2.943
Al 0.000 0.000 0.000
Sm 4.805 2.774 1.962
Li 2.403 1.387 0.981
```

Values from the calculation:
DFT total energy ... -15.94 eV per cell
Energy relative to the elements ... -0.57 eV per atom

Record 3
Entry from Alexandria: a relaxed structure of Li2AlSnAu (PBE).

```
5
Lattice="-0.607 2.937 -3.739 3.705 -2.648 -2.681 -3.364 -2.929 -1.755" Properties=species:S:1:pos:R:3 pbc="T T T"
Li -1.682 -1.465 -0.877
Li -0.303 1.468 -1.870
Au 0.000 0.000 0.000
Al -0.133 -1.320 -4.087
Sn 1.852 -1.324 -1.340
```

Values from the calculation:
DFT total energy ... -14.52 eV per cell
Polymorph energy (0 for the lowest one) ... 194 meV/atom
Energy relative to the elements ... 0.07 eV per atom

Record 4
Entry from Alexandria: a relaxed structure of Li2AlSnAu (PBE).

```
5
Lattice="5.155 0.000 0.000 0.000 5.119 0.000 0.000 0.000 5.155" Properties=species:S:1:pos:R:3 pbc="T T T"
Li 0.000 0.000 2.577
Li 2.577 0.000 0.000
Sn 0.000 0.000 0.000
Au 0.000 2.559 0.000
Al 2.577 2.559 2.577
```

Values from the calculation:
DFT total energy ... -13.34 eV per cell
Polymorph energy (0 for the lowest one) ... 430 meV/atom
Energy relative to the elements ... 0.30 eV per atom